(1)
Material: HfSiMo3
Method: DFT, PBE-GGA
State: optimized geometry

a = 4.5284 Å, b = 4.5284 Å, c = 4.5284 Å
α = 90.00°, β = 90.00°, γ = 90.00°
Closest atoms and distances in Å follow each position.
Space group Pm-3m (No. 221)
Symmetry-distinct sites (fractional):
Hf 0.0000 0.0000 0.0000 x1  12 Mo 3.20
Si 0.5000 0.5000 0.5000 x1  6 Mo 2.26
Mo 0.0000 0.5000 0.5000 x3  2 Si 2.26

uncorrected formation energy = 59.3 kJ per mole of atoms

=====

(2)
Material: Tm3Ga3Ir2
Method: DFT, PBE-GGA
State: optimized geometry

a = 7.7398 Å, b = 15.1838 Å, c = 5.5171 Å
α = 90.00°, β = 90.00°, γ = 90.00°
Closest atoms and distances in Å follow each position.
Space group Pnma (No. 62)
Symmetry-distinct sites (fractional):
Tm 0.0401 0.1098 0.1102 x8  3 Ir 2.93-3.06, 7 Ga 3.00-3.23
Tm 0.1782 0.2500 0.6351 x4  4 Ir 2.99-3.08, 5 Ga 3.02-3.27
Ga 0.1629 0.7500 0.6345 x4  2 Ir 2.58
Ga 0.1797 0.0348 0.6031 x8  3 Ir 2.50-2.59
Ir 0.1098 0.6105 0.3774 x8  4 Ga 2.50-2.59

raw total energy = -5.811 eV/atom

=====

(3)
Material: PuNi6H
Method: DFT, PBE-GGA
State: optimized geometry

a = 5.0878 Å, b = 5.0878 Å, c = 12.8931 Å
α = 90.00°, β = 90.00°, γ = 120.00°
Closest atoms and distances in Å follow each position.
Space group R-3m (No. 166, hexagonal axes)
Symmetry-distinct sites (fractional):
Pu 0.0000 0.0000 0.0000 x3  12 Ni 2.81
Ni 0.0149 0.5075 0.9072 x18  1 H 1.81
H 0.0000 0.0000 0.5000 x3  6 Ni 1.81

raw total energy = -6.497 eV/atom

=====

(4)
Material: YMnFe2Au
Method: DFT, PBE-GGA
State: optimized geometry

a = 4.5780 Å, b = 4.5780 Å, c = 5.2830 Å
α = 90.00°, β = 90.00°, γ = 90.00°
Closest atoms and distances in Å follow each position.
Space group P4/mmm (No. 123)
Symmetry-distinct sites (fractional):
Y 0.0000 0.0000 0.0000 x1  4 Fe 2.29
Mn 0.5000 0.5000 0.5000 x1  4 Au 3.24, 8 Fe 3.50
Fe 0.0000 0.5000 0.0000 x2  2 Y 2.29
Au 0.0000 0.0000 0.5000 x1  2 Y 2.64

raw total energy = -5.398 eV/atom

=====

(5)
Material: CrMo2
Method: DFT, PBE-GGA
State: optimized geometry

a = 5.2180 Å, b = 5.2180 Å, c = 8.2907 Å
α = 90.00°, β = 90.00°, γ = 120.00°
Closest atoms and distances in Å follow each position.
Space group P6_3/mmc (No. 194)
Symmetry-distinct sites (fractional):
Cr 0.3333 0.6667 0.0618 x4  12 Mo 2.97-3.06, 4 Cr 3.12-3.18
Mo 0.0000 0.0000 0.0000 x2  6 Mo 2.59
Mo 0.1714 0.3428 0.7500 x6  6 Mo 2.54-2.68

raw total energy = -9.881 eV/atom

=====

(6)
Material: CaNiSn3
Method: DFT, PBE-GGA
State: optimized geometry

a = 5.0778 Å, b = 5.0778 Å, c = 5.0778 Å
α = 90.00°, β = 90.00°, γ = 90.00°
Closest atoms and distances in Å follow each position.
Space group Pm-3m (No. 221)
Symmetry-distinct sites (fractional):
Ca 0.0000 0.0000 0.0000 x1  12 Sn 3.59
Ni 0.5000 0.5000 0.5000 x1  6 Sn 2.54
Sn 0.0000 0.5000 0.5000 x3  2 Ni 2.54

raw total energy = -4.114 eV/atom

=====

(7)
Material: MnZnSiTc
Method: DFT, PBE-GGA
State: optimized geometry

a = 5.9486 Å, b = 5.9486 Å, c = 5.9486 Å
α = 90.00°, β = 90.00°, γ = 90.00°
Closest atoms and distances in Å follow each position.
Space group F-43m (No. 216)
Symmetry-distinct sites (fractional):
Mn 0.0000 0.0000 0.0000 x4  4 Si 2.58, 4 Zn 2.58
Zn 0.2500 0.2500 0.2500 x4  4 Mn 2.58, 4 Tc 2.58
Si 0.2500 0.2500 0.7500 x4  4 Mn 2.58, 4 Tc 2.58
Tc 0.0000 0.0000 0.5000 x4  4 Si 2.58, 4 Zn 2.58

uncorrected formation energy = -10.9 kJ per mole of atoms

=====

(8)
Material: LaMg2GeN
Method: DFT, PBE-GGA
State: optimized geometry

a = 4.4163 Å, b = 4.4163 Å, c = 5.0144 Å
α = 90.00°, β = 90.00°, γ = 90.00°
Closest atoms and distances in Å follow each position.
Space group P4/mmm (No. 123)
Symmetry-distinct sites (fractional):
La 0.0000 0.0000 0.0000 x1  2 N 2.51
Mg 0.0000 0.5000 0.5000 x2  2 N 2.21
Ge 0.5000 0.5000 0.0000 x1  4 La 3.12, 8 Mg 3.34
N 0.0000 0.0000 0.5000 x1  4 Mg 2.21

uncorrected formation energy = -65.0 kJ per mole of atoms

=====

Looking at N(E_F) for the records above, in order, we have 1.1441 0.6478 1.8785 1.7929 0.9341 0.5075 0.6068 0.1153 states/eV per atom.